Compound: Ta2HgWO
Source: Alexandria
Functional: GGA+U
Structure: relaxed

Values from the calculation:
**Space group**: P4/mmm (123)
**VASP energy**: -7.162 eV/atom
**Calculated density**: 15.16 Mg/m³
**D(E_F)**: 1.605 states/eV/f.u.

abc: 4.1181 4.9231 4.1181
angles: 90.00 90.00 90.00
Last column: nearest neighbours and their distance in Å.
Fractional positions:
Hg1 0.0000 0.5000 0.0000  2 O 2.46
Ta1 0.0000 0.0000 0.5000  2 O 2.06
Ta2 0.5000 0.0000 0.0000  2 O 2.06
W1 0.5000 0.5000 0.5000  4 Hg 2.91, 8 Ta 3.21
O1 0.0000 0.0000 0.0000  4 Ta 2.06